No. 1
# CaCrCd (meta-GGA SCAN, single point on PBEsol structure)
# **E**: -19.2297 eV per atom
# **Density of states at the Fermi level**: 0.65 states/eV/atom
# **Energy of formation from the pure elements**: 0.2577 eV per atom
# **Size of the total moment**: 4.95 μB per formula unit
# **SG**: F-43m, No. 216
data_CaCrCd
_symmetry_space_group_name_H-M 'P 1'
_symmetry_Int_Tables_number 1
_symmetry_space_group_name_Hall 'P 1'
_cell_length_a 4.873
_cell_length_b 4.873
_cell_length_c 4.873
_cell_angle_alpha 60.00
_cell_angle_beta 60.00
_cell_angle_gamma 60.00
loop_
_atom_site_label
_atom_site_type_symbol
_atom_site_fract_x
_atom_site_fract_y
_atom_site_fract_z
Cr1 Cr 0.000 0.000 0.000
Ca1 Ca 0.500 0.500 0.500
Cd1 Cd 0.250 0.250 0.250


No. 2
# HWNF2 (meta-GGA SCAN, single point on PBEsol structure)
# **E**: -18.0422 eV per atom
# **Density of states at the Fermi level**: 0.24 states/eV/atom
# **Size of the total moment**: 1.11 μB per formula unit
# **SG**: P4/mmm, No. 123
data_HWNF2
_symmetry_space_group_name_H-M 'P 1'
_symmetry_Int_Tables_number 1
_symmetry_space_group_name_Hall 'P 1'
_cell_length_a 2.982
_cell_length_b 2.982
_cell_length_c 4.571
_cell_angle_alpha 90.00
_cell_angle_beta 90.00
_cell_angle_gamma 90.00
loop_
_atom_site_label
_atom_site_type_symbol
_atom_site_fract_x
_atom_site_fract_y
_atom_site_fract_z
H1 H 0.000 0.000 0.000
N1 N 0.000 0.000 0.500
W1 W 0.500 0.500 0.500
F1 F 0.000 0.500 0.000
F2 F 0.500 0.000 0.000


No. 3
# LaTl2 (meta-GGA SCAN, single point on PBEsol structure)
# **E**: -63.1252 eV per atom
# **Density of states at the Fermi level**: 0.51 states/eV/atom
# **Energy of formation from the pure elements**: -0.5180 eV per atom
# **Size of the total moment**: 0.00 μB per formula unit
# **SG**: P6_3/mmc, No. 194
data_LaTl2
_symmetry_space_group_name_H-M 'P 1'
_symmetry_Int_Tables_number 1
_symmetry_space_group_name_Hall 'P 1'
_cell_length_a 5.431
_cell_length_b 5.431
_cell_length_c 6.678
_cell_angle_alpha 90.00
_cell_angle_beta 90.00
_cell_angle_gamma 120.00
loop_
_atom_site_label
_atom_site_type_symbol
_atom_site_fract_x
_atom_site_fract_y
_atom_site_fract_z
La1 La 0.333 0.667 0.750
La2 La 0.667 0.333 0.250
Tl1 Tl 0.000 0.000 0.000
Tl2 Tl 0.000 0.000 0.500
Tl3 Tl 0.667 0.333 0.750
Tl4 Tl 0.333 0.667 0.250


No. 4
# LiSb2TeW (meta-GGA SCAN, single point on PBEsol structure)
# **E**: -35.5381 eV per atom
# **Density of states at the Fermi level**: 0.54 states/eV/atom
# **Formation energy from raw total energies**: 1.23 eV per atom
# **Size of the total moment**: 3.39 μB per formula unit
# **SG**: P4/mmm, No. 123
data_LiSb2TeW
_symmetry_space_group_name_H-M 'P 1'
_symmetry_Int_Tables_number 1
_symmetry_space_group_name_Hall 'P 1'
_cell_length_a 4.749
_cell_length_b 4.749
_cell_length_c 4.976
_cell_angle_alpha 90.00
_cell_angle_beta 90.00
_cell_angle_gamma 90.00
loop_
_atom_site_label
_atom_site_type_symbol
_atom_site_fract_x
_atom_site_fract_y
_atom_site_fract_z
Sb1 Sb 0.000 0.500 0.000
Sb2 Sb 0.500 0.000 0.000
Te1 Te 0.000 0.000 0.500
W1 W 0.500 0.500 0.500
Li1 Li 0.000 0.000 0.000


No. 5
# RbP2O2 (meta-GGA SCAN, single point on PBEsol structure)
# **E**: -10.5466 eV per atom
# **Density of states at the Fermi level**: 0.76 states/eV/atom
# **Formation energy from raw total energies**: 0.25 eV per atom
# **Size of the total moment**: 1.26 μB per formula unit
# **SG**: P4/mmm, No. 123
data_RbP2O2
_symmetry_space_group_name_H-M 'P 1'
_symmetry_Int_Tables_number 1
_symmetry_space_group_name_Hall 'P 1'
_cell_length_a 3.829
_cell_length_b 3.829
_cell_length_c 6.621
_cell_angle_alpha 90.00
_cell_angle_beta 90.00
_cell_angle_gamma 90.00
loop_
_atom_site_label
_atom_site_type_symbol
_atom_site_fract_x
_atom_site_fract_y
_atom_site_fract_z
P1 P 0.000 0.500 0.000
P2 P 0.500 0.000 0.000
O1 O 0.000 0.000 0.000
O2 O 0.000 0.000 0.500
Rb1 Rb 0.500 0.500 0.500


No. 6
# AgPb (meta-GGA SCAN, single point on PBEsol structure)
# **E**: -53.4413 eV per atom
# **Density of states at the Fermi level**: 0.34 states/eV/atom
# **Energy of formation from the pure elements**: 0.1328 eV per atom
# **Size of the total moment**: 0.00 μB per formula unit
# **SG**: Pbcm, No. 57
data_AgPb
_symmetry_space_group_name_H-M 'P 1'
_symmetry_Int_Tables_number 1
_symmetry_space_group_name_Hall 'P 1'
_cell_length_a 6.155
_cell_length_b 8.254
_cell_length_c 10.861
_cell_angle_alpha 90.00
_cell_angle_beta 90.00
_cell_angle_gamma 90.00
loop_
_atom_site_label
_atom_site_type_symbol
_atom_site_fract_x
_atom_site_fract_y
_atom_site_fract_z
Ag1 Ag 0.750 0.921 0.114
Ag2 Ag 0.250 0.079 0.886
Ag3 Ag 0.750 0.421 0.886
Ag4 Ag 0.250 0.579 0.114
Ag5 Ag 0.750 0.456 0.444
Ag6 Ag 0.250 0.544 0.556
Ag7 Ag 0.750 0.956 0.556
Ag8 Ag 0.250 0.044 0.444
Ag9 Ag 0.000 0.250 0.067
Ag10 Ag 0.500 0.750 0.933
Ag11 Ag 0.000 0.750 0.933
Ag12 Ag 0.500 0.250 0.067
Pb1 Pb 0.750 0.548 0.141
Pb2 Pb 0.250 0.452 0.859
Pb3 Pb 0.750 0.048 0.859
Pb4 Pb 0.250 0.952 0.141
Pb5 Pb 0.750 0.147 0.316
Pb6 Pb 0.250 0.853 0.684
Pb7 Pb 0.750 0.647 0.684
Pb8 Pb 0.250 0.353 0.316
Pb9 Pb 0.000 0.250 0.627
Pb10 Pb 0.500 0.750 0.373
Pb11 Pb 0.000 0.750 0.373
Pb12 Pb 0.500 0.250 0.627